This record from Alexandria via LeMat-Bulk describes Pm2Sm6Dy3Tl after structural relaxation. The functional is GGA-PBE.

Properties
E_form in eV/atom: -0.026

Structure (CIF):
```
data_Pm2Sm6Dy3Tl
_symmetry_space_group_name_H-M 'C 1 2/m 1'
_symmetry_Int_Tables_number 12
_symmetry_space_group_name_Hall '-C 2y'
_cell_length_a 6.1786
_cell_length_b 10.7206
_cell_length_c 11.8505
_cell_angle_alpha 90.00
_cell_angle_beta 100.08
_cell_angle_gamma 90.00
loop_
_atom_site_label
_atom_site_fract_x
_atom_site_fract_y
_atom_site_fract_z
Pm1 0.0000 0.1662 0.0000
Sm1 0.2434 0.5000 0.7483
Sm2 0.2468 0.3365 0.2504
Dy1 0.0000 0.0000 0.5000
Dy2 0.0000 0.3328 0.5000
Tl1 0.0000 0.5000 0.0000
```

=====

This record from Alexandria via LeMat-Bulk describes Co2Ru2Pt after structural relaxation. The functional is GGA-PBE.

Properties
Relative energy among the computed polymorphs in meV per atom: 85
E_form in eV/atom: 0.301

Structure (CIF):
```
data_Co2Ru2Pt
_symmetry_space_group_name_H-M 'P 4/m b m'
_symmetry_Int_Tables_number 127
_symmetry_space_group_name_Hall '-P 4 2ab'
_cell_length_a 7.1001
_cell_length_b 7.1001
_cell_length_c 2.6837
_cell_angle_alpha 90.00
_cell_angle_beta 90.00
_cell_angle_gamma 90.00
loop_
_atom_site_label
_atom_site_fract_x
_atom_site_fract_y
_atom_site_fract_z
Co1 0.1679 0.3321 0.0000
Ru1 0.1267 0.6267 0.5000
Pt1 0.0000 0.0000 0.5000
```

=====

This record from Alexandria via LeMat-Bulk describes Rb3Hg2Br7 after structural relaxation. The functional is GGA-PBE.

Properties
Energy relative to the elements, uncorrected in eV per atom: -1.06

Structure (CIF):
```
data_Rb3Hg2Br7
_symmetry_space_group_name_H-M 'C m m m'
_symmetry_Int_Tables_number 65
_symmetry_space_group_name_Hall '-C 2 2'
_cell_length_a 5.7778
_cell_length_b 27.8577
_cell_length_c 5.6313
_cell_angle_alpha 90.00
_cell_angle_beta 90.00
_cell_angle_gamma 90.00
loop_
_atom_site_label
_atom_site_fract_x
_atom_site_fract_y
_atom_site_fract_z
Rb1 0.0000 0.0000 0.0000
Rb2 0.0000 0.1736 0.0000
Hg1 0.0000 0.3973 0.5000
Br1 0.0000 0.0946 0.5000
Br2 0.0000 0.3000 0.5000
Br3 0.0000 0.4044 0.0000
Br4 0.0000 0.5000 0.5000
```